Entry 1:
A relaxed BaPdO5 crystal. Source: the Alexandria database, functional GGA-PBE.

a b c (Å): 5.1477 6.0421 8.8895
angles (deg): 90.00 125.02 90.00
Closest atoms and distances in Å follow each position.
Sites, in units of the cell vectors:
Ba (0.0000, 0.0425, 0.2500)  6 O 2.73-2.94
Ba (0.0000, 0.9575, 0.7500)  6 O 2.73-2.94
Pd (0.5000, 0.5000, 0.0000)  4 O 1.87-2.07
Pd (0.5000, 0.5000, 0.5000)  4 O 1.87-2.07
O (0.2747, 0.3263, 0.5956)  1 O 1.44
O (0.2747, 0.6737, 0.0956)  1 O 1.44
O (0.3865, 0.2257, 0.0444)  1 Pd 1.87
O (0.3865, 0.7743, 0.5444)  1 Pd 1.87
O (0.5000, 0.1913, 0.7500)  2 O 1.44
O (0.5000, 0.8087, 0.2500)  2 O 1.44
O (0.6135, 0.2257, 0.4556)  1 Pd 1.87
O (0.6135, 0.7743, 0.9556)  1 Pd 1.87
O (0.7253, 0.3263, 0.9044)  1 O 1.44
O (0.7253, 0.6737, 0.4044)  1 O 1.44

* formation energy from raw total energies: -5.09 eV per formula unit
* energy above the lowest structure with this stoichiometry: 194.7 meV/atom

=====

Entry 2:
A relaxed CaTc4W crystal. Source: the Alexandria database, functional GGA-PBE.

a b c (Å): 5.2229 5.2229 5.2229
angles (deg): 60.00 60.00 60.00
Closest atoms and distances in Å follow each position.
Sites, in units of the cell vectors:
Ca (0.0000, 0.0000, 0.0000)  12 Tc 3.06, 4 W 3.20
Tc (0.1259, 0.6247, 0.6247)  6 Tc 2.61-2.62
Tc (0.6247, 0.1259, 0.6247)  6 Tc 2.61-2.62
Tc (0.6247, 0.6247, 0.1259)  6 Tc 2.61-2.62
Tc (0.6247, 0.6247, 0.6247)  6 Tc 2.61-2.62
W (0.2500, 0.2500, 0.2500)  12 Tc 3.06, 4 Ca 3.20

* final energy: -9.064 eV/atom

=====

Entry 3:
A relaxed BeCoAg2 crystal. Source: the Alexandria database, functional GGA-PBE.

a b c (Å): 8.6941 8.6941 8.6941
angles (deg): 18.20 18.20 18.20
Closest atoms and distances in Å follow each position.
Sites, in units of the cell vectors:
Be (0.0000, 0.0000, 0.0000)  6 Ag 2.55, 6 Be 2.75
Co (0.5000, 0.5000, 0.5000)  6 Co 2.75, 6 Ag 2.78
Ag (0.2556, 0.2556, 0.2556)  3 Be 2.55, 6 Ag 2.75, 3 Co 2.78
Ag (0.7444, 0.7444, 0.7444)  3 Be 2.55, 6 Ag 2.75, 3 Co 2.78

* final energy: -3.746 eV/atom

=====

Entry 4:
A relaxed VCrCuBr crystal. Source: the Alexandria database, functional GGA-PBE.

a b c (Å): 6.1943 6.1943 3.1116
angles (deg): 90.78 90.78 38.68
Closest atoms and distances in Å follow each position.
Sites, in units of the cell vectors:
V (0.0000, 0.0000, 0.0000)  1 Cr 2.04
Cr (0.8529, 0.8529, 0.6371)  1 V 2.04
Cu (0.3749, 0.3749, 0.1586)  4 Cr 2.55-2.63, 2 V 2.57
Br (0.6419, 0.6419, 0.9587)  2 V 2.64, 1 Cr 2.67

* formation energy from raw total energies: 1.67 eV per formula unit
* energy above the lowest structure with this stoichiometry: 155.4 meV/atom

=====

Entry 5:
A relaxed ThCdHgPd crystal. Source: the Alexandria database, functional GGA-PBE.

a b c (Å): 4.0734 4.0734 11.7862
angles (deg): 90.00 90.00 90.00
Closest atoms and distances in Å follow each position.
Sites, in units of the cell vectors:
Th (0.2500, 0.2500, 0.1702)  5 Pd 2.88-3.10
Th (0.7500, 0.7500, 0.8298)  5 Pd 2.88-3.10
Cd (0.2500, 0.7500, 0.5000)  4 Cd 2.88, 4 Hg 2.98
Cd (0.7500, 0.2500, 0.5000)  4 Cd 2.88, 4 Hg 2.98
Hg (0.2500, 0.2500, 0.6842)  1 Pd 2.85, 4 Cd 2.98
Hg (0.7500, 0.7500, 0.3158)  1 Pd 2.85, 4 Cd 2.98
Pd (0.2500, 0.2500, 0.9259)  1 Hg 2.85, 5 Th 2.88-3.10
Pd (0.7500, 0.7500, 0.0741)  1 Hg 2.85, 5 Th 2.88-3.10

* energy above the lowest structure with this stoichiometry: 111.7 meV/atom

=====

Entry 6:
A relaxed MnTlRh2 crystal. Source: the Alexandria database, functional GGA-PBE.

a b c (Å): 2.9827 3.8882 5.6506
angles (deg): 90.00 90.00 90.00
Closest atoms and distances in Å follow each position.
Sites, in units of the cell vectors:
Mn (0.0000, 0.0000, 0.0000)  5 Rh 2.54-2.66
Tl (0.5000, 0.5000, 0.6916)  6 Rh 2.77-2.88, 2 Tl 2.98, 4 Mn 3.01
Rh (0.0000, 0.0000, 0.4496)  1 Mn 2.54, 4 Tl 2.81
Rh (0.5000, 0.5000, 0.1813)  4 Mn 2.66, 2 Tl 2.77-2.88, 4 Rh 2.88

* final energy: -6.432 eV/atom

=====

Entry 7:
A relaxed LaBeSb crystal. Source: the Alexandria database, functional GGA-PBE.

a b c (Å): 6.3503 6.0352 3.7094
angles (deg): 77.28 67.98 34.74
Closest atoms and distances in Å follow each position.
Sites, in units of the cell vectors:
La (0.0000, 0.0000, 0.0000)  2 Be 3.06, 3 Sb 3.21-3.29
Be (0.6880, 0.6880, 0.3120)  2 Sb 2.51
Sb (0.2931, 0.2931, 0.7069)  2 Be 2.51

* formation energy from raw total energies: -0.54 eV per formula unit
* energy above the lowest structure with this stoichiometry: 470.1 meV/atom

=====

Entry 8:
A relaxed Cr2IrPt crystal. Source: the Alexandria database, functional GGA-PBE.

a b c (Å): 4.6347 4.6347 4.6512
angles (deg): 101.01 101.01 34.40
Closest atoms and distances in Å follow each position.
Sites, in units of the cell vectors:
Cr (0.2481, 0.2481, 0.2001)  2 Cr 2.32, 1 Ir 2.58
Cr (0.7519, 0.7519, 0.7999)  2 Cr 2.32, 1 Ir 2.58
Ir (0.5000, 0.5000, 0.0000)  6 Cr 2.58-2.60, 4 Pt 2.70, 2 Ir 2.74
Pt (0.0000, 0.0000, 0.5000)  4 Ir 2.70, 2 Pt 2.74, 6 Cr 2.75-2.83

* final energy: -8.561 eV/atom

=====

Entry 9:
A relaxed Dy4SiS2Cl crystal. Source: the Alexandria database, functional GGA-PBE.

a b c (Å): 6.8884 3.9696 6.9548
angles (deg): 90.00 109.01 90.00
Closest atoms and distances in Å follow each position.
Sites, in units of the cell vectors:
Dy (0.2295, 0.0000, 0.2241)  3 S 2.69-2.86, 1 Si 2.79, 2 Cl 2.96
Dy (0.2429, 0.5000, 0.7629)  3 S 2.70-2.84, 2 Si 2.81, 1 Cl 2.93
Dy (0.7571, 0.5000, 0.2371)  3 S 2.70-2.84, 2 Si 2.81, 1 Cl 2.93
Dy (0.7705, 0.0000, 0.7759)  3 S 2.69-2.86, 1 Si 2.79, 2 Cl 2.96
Si (0.5000, 0.0000, 0.0000)  6 Dy 2.79-2.81
S (0.0000, 0.0000, 0.5000)  6 Dy 2.84-2.86
S (0.0000, 0.5000, 0.0000)  6 Dy 2.69-2.70
Cl (0.5000, 0.5000, 0.5000)  6 Dy 2.93-2.96

* formation energy from raw total energies: -12.42 eV per formula unit

=====

Entry 10:
A relaxed Ti5Ge2H crystal. Source: the Alexandria database, functional GGA-PBE.

a b c (Å): 6.5546 6.5546 10.2472
angles (deg): 90.00 90.00 139.34
Closest atoms and distances in Å follow each position.
Sites, in units of the cell vectors:
Ti (0.0878, 0.9122, 0.6164)  1 H 1.93
Ti (0.0878, 0.9122, 0.8836)  1 H 1.93
Ti (0.3067, 0.6933, 0.5323)  1 H 2.60, 3 Ge 2.61-2.75, 4 Ti 2.75-2.90
Ti (0.3067, 0.6933, 0.9677)  1 H 2.60, 3 Ge 2.61-2.75, 4 Ti 2.75-2.90
Ti (0.3201, 0.6799, 0.2500)  2 H 2.29
Ti (0.6799, 0.3201, 0.7500)  2 H 2.29
Ti (0.6933, 0.3067, 0.0323)  1 H 2.60, 3 Ge 2.61-2.75, 4 Ti 2.75-2.90
Ti (0.6933, 0.3067, 0.4677)  1 H 2.60, 3 Ge 2.61-2.75, 4 Ti 2.75-2.90
Ti (0.9122, 0.0878, 0.1164)  1 H 1.93
Ti (0.9122, 0.0878, 0.3836)  1 H 1.93
Ge (0.1274, 0.8726, 0.1281)  1 Ge 2.50, 6 Ti 2.55-2.75
Ge (0.1274, 0.8726, 0.3719)  1 Ge 2.50, 6 Ti 2.55-2.75
Ge (0.8726, 0.1274, 0.6281)  1 Ge 2.50, 6 Ti 2.55-2.75
Ge (0.8726, 0.1274, 0.8719)  1 Ge 2.50, 6 Ti 2.55-2.75
H (0.1980, 0.8020, 0.7500)  2 Ti 1.93
H (0.8020, 0.1980, 0.2500)  2 Ti 1.93

* final energy: -6.483 eV/atom

=====

Entry 11:
A relaxed CaSeBrF crystal. Source: the Alexandria database, functional GGA-PBE.

a b c (Å): 4.2371 5.3224 5.2373
angles (deg): 90.00 98.07 90.00
Closest atoms and distances in Å follow each position.
Sites, in units of the cell vectors:
Ca (0.0000, 0.0000, 0.0000)  2 F 2.16-2.17
Se (0.8768, 0.5000, 0.7440)  1 Br 2.47
Br (0.0665, 0.5000, 0.3200)  1 Se 2.47
F (0.5146, 0.0000, 0.0868)  2 Ca 2.16-2.17

* formation energy from raw total energies: -7.24 eV per formula unit
* energy above the lowest structure with this stoichiometry: 0.0 meV/atom

=====

Entry 12:
A relaxed LaTbIr crystal. Source: the Alexandria database, functional GGA-PBE.

a b c (Å): 7.0808 7.0808 7.0808
angles (deg): 150.90 150.90 41.63
Closest atoms and distances in Å follow each position.
Sites, in units of the cell vectors:
La (0.0000, 0.0000, 0.0000)  4 Ir 3.07, 1 Tb 3.30
Tb (0.7509, 0.7509, 0.0000)  4 Ir 2.95, 1 La 3.30
Ir (0.3675, 0.3675, 0.0000)  4 Tb 2.95, 4 La 3.07

* energy above the lowest structure with this stoichiometry: 147.6 meV/atom